Below is crystalline PmZnHgBi at its relaxed geometry, with properties calculated at the GGA-PBE level.

Its formation energy is -0.25 eV per atom. Its density of states at the Fermi level is 5.402 states/eV per cell.

The structure belongs to space group F-43m (No. 216); the cell edges are 7.485, 7.485 and 7.485 Å and the angles 90.00°, 90.00° and 90.00°. The distinct sites, in fractional coordinates, are Pm at (0.000, 0.000, 0.000), Zn at (0.250, 0.250, 0.750), Hg at (0.250, 0.250, 0.250) and Bi at (0.000, 0.000, 0.500).